# YCoAs2, relaxed, DFT GGA-PBE
# E	-5.955	eV/atom
# formation energy from the elements	-238	meV/atom
# space-group type	P4mm
data_YCoAs2
_chemical_formula_sum 'Y1 Co1 As2'
_space_group_name_H-M_alt 'P 1'
_space_group_IT_number 1
_space_group_name_Hall 'P 1'
_cell_length_a 3.119
_cell_length_b 3.119
_cell_length_c 8.513
_cell_angle_alpha 90.00
_cell_angle_beta 90.00
_cell_angle_gamma 90.00
loop_
_atom_site_label
_atom_site_type_symbol
_atom_site_fract_x
_atom_site_fract_y
_atom_site_fract_z
Y1 Y 0.000 0.000 0.000
Co1 Co 0.500 0.500 0.753
As1 As 0.000 0.000 0.629
As2 As 0.500 0.500 0.239

# YCoAs2, relaxed, DFT GGA-PBE
# E	-6.125	eV/atom
# formation energy from the elements	-408	meV/atom
# space-group type	I-42d
data_YCoAs2
_chemical_formula_sum 'Y2 Co2 As4'
_space_group_name_H-M_alt 'P 1'
_space_group_IT_number 1
_space_group_name_Hall 'P 1'
_cell_length_a 8.243
_cell_length_b 8.243
_cell_length_c 8.243
_cell_angle_alpha 146.43
_cell_angle_beta 146.43
_cell_angle_gamma 48.21
loop_
_atom_site_label
_atom_site_type_symbol
_atom_site_fract_x
_atom_site_fract_y
_atom_site_fract_z
Y1 Y 0.000 0.000 0.000
Y2 Y 0.750 0.250 0.500
Co1 Co 0.250 0.750 0.500
Co2 Co 0.500 0.500 0.000
As1 As 0.254 0.625 0.129
As2 As 0.375 0.504 0.629
As3 As 0.496 0.125 0.871
As4 As 0.875 0.746 0.371

# Y2CoAs, relaxed, DFT GGA-PBE
# E	-6.766	eV/atom
# formation energy from the elements	-595	meV/atom
# space-group type	Pmmm
data_Y2CoAs
_chemical_formula_sum 'Y2 Co1 As1'
_space_group_name_H-M_alt 'P 1'
_space_group_IT_number 1
_space_group_name_Hall 'P 1'
_cell_length_a 3.564
_cell_length_b 3.578
_cell_length_c 6.648
_cell_angle_alpha 90.00
_cell_angle_beta 90.00
_cell_angle_gamma 90.00
loop_
_atom_site_label
_atom_site_type_symbol
_atom_site_fract_x
_atom_site_fract_y
_atom_site_fract_z
Y1 Y 0.000 0.000 0.247
Y2 Y 0.000 0.000 0.753
Co1 Co 0.500 0.500 0.000
As1 As 0.500 0.500 0.500

# YCoAs4, relaxed, DFT GGA-PBE
# E	-5.166	eV/atom
# formation energy from the elements	195	meV/atom
# space-group type	F-43m
data_YCoAs4
_chemical_formula_sum 'Y1 Co1 As4'
_space_group_name_H-M_alt 'P 1'
_space_group_IT_number 1
_space_group_name_Hall 'P 1'
_cell_length_a 5.528
_cell_length_b 5.528
_cell_length_c 5.528
_cell_angle_alpha 60.00
_cell_angle_beta 60.00
_cell_angle_gamma 60.00
loop_
_atom_site_label
_atom_site_type_symbol
_atom_site_fract_x
_atom_site_fract_y
_atom_site_fract_z
Y1 Y 0.000 0.000 0.000
Co1 Co 0.250 0.250 0.250
As1 As 0.130 0.623 0.623
As2 As 0.623 0.130 0.623
As3 As 0.623 0.623 0.130
As4 As 0.623 0.623 0.623

# Y2CoAs, relaxed, DFT GGA-PBE
# E	-6.699	eV/atom
# formation energy from the elements	-528	meV/atom
# space-group type	P4mm
data_Y2CoAs
_chemical_formula_sum 'Y2 Co1 As1'
_space_group_name_H-M_alt 'P 1'
_space_group_IT_number 1
_space_group_name_Hall 'P 1'
_cell_length_a 4.024
_cell_length_b 4.024
_cell_length_c 5.763
_cell_angle_alpha 90.00
_cell_angle_beta 90.00
_cell_angle_gamma 90.00
loop_
_atom_site_label
_atom_site_type_symbol
_atom_site_fract_x
_atom_site_fract_y
_atom_site_fract_z
Y1 Y 0.000 0.000 0.000
Y2 Y 0.500 0.500 0.425
Co1 Co 0.500 0.500 0.964
As1 As 0.000 0.000 0.501

# YCoAs2, relaxed, DFT GGA-PBE
# E	-6.216	eV/atom
# formation energy from the elements	-499	meV/atom
# space-group type	Pm
data_YCoAs2
_chemical_formula_sum 'Y1 Co1 As2'
_space_group_name_H-M_alt 'P 1'
_space_group_IT_number 1
_space_group_name_Hall 'P 1'
_cell_length_a 4.492
_cell_length_b 4.118
_cell_length_c 4.565
_cell_angle_alpha 90.00
_cell_angle_beta 105.06
_cell_angle_gamma 90.00
loop_
_atom_site_label
_atom_site_type_symbol
_atom_site_fract_x
_atom_site_fract_y
_atom_site_fract_z
Y1 Y 0.000 0.000 0.000
Co1 Co 0.834 0.500 0.529
As1 As 0.350 0.500 0.647
As2 As 0.598 0.000 0.366

# Y2Co12As7, relaxed, DFT GGA-PBE
# E	-6.692	eV/atom
# formation energy from the elements	-466	meV/atom
# space-group type	P-6
data_Y2Co12As7
_chemical_formula_sum 'Y2 Co12 As7'
_space_group_name_H-M_alt 'P 1'
_space_group_IT_number 1
_space_group_name_Hall 'P 1'
_cell_length_a 9.360
_cell_length_b 9.360
_cell_length_c 3.733
_cell_angle_alpha 90.00
_cell_angle_beta 90.00
_cell_angle_gamma 120.00
loop_
_atom_site_label
_atom_site_type_symbol
_atom_site_fract_x
_atom_site_fract_y
_atom_site_fract_z
Y1 Y 0.000 0.000 0.000
Y2 Y 0.333 0.667 0.500
Co1 Co 0.047 0.765 0.500
Co2 Co 0.101 0.391 0.000
Co3 Co 0.235 0.282 0.500
Co4 Co 0.290 0.899 0.000
Co5 Co 0.390 0.211 0.000
Co6 Co 0.541 0.107 0.500
Co7 Co 0.566 0.459 0.500
Co8 Co 0.609 0.710 0.000
Co9 Co 0.718 0.953 0.500
Co10 Co 0.789 0.179 0.000
Co11 Co 0.821 0.610 0.000
Co12 Co 0.893 0.434 0.500
As1 As 0.074 0.625 0.000
As2 As 0.261 0.040 0.500
As3 As 0.375 0.449 0.000
As4 As 0.551 0.926 0.000
As5 As 0.667 0.333 0.000
As6 As 0.779 0.739 0.500
As7 As 0.960 0.221 0.500

# YCo4As, relaxed, DFT GGA-PBE
# E	-6.660	eV/atom
# formation energy from the elements	-71	meV/atom
# space-group type	F-43m
data_YCo4As
_chemical_formula_sum 'Y1 Co4 As1'
_space_group_name_H-M_alt 'P 1'
_space_group_IT_number 1
_space_group_name_Hall 'P 1'
_cell_length_a 4.958
_cell_length_b 4.958
_cell_length_c 4.958
_cell_angle_alpha 60.00
_cell_angle_beta 60.00
_cell_angle_gamma 60.00
loop_
_atom_site_label
_atom_site_type_symbol
_atom_site_fract_x
_atom_site_fract_y
_atom_site_fract_z
Y1 Y 0.000 0.000 0.000
Co1 Co 0.375 0.375 0.375
Co2 Co 0.375 0.375 0.874
Co3 Co 0.375 0.874 0.375
Co4 Co 0.874 0.375 0.375
As1 As 0.750 0.750 0.750

# YCoAs2, relaxed, DFT GGA-PBE
# E	-6.056	eV/atom
# formation energy from the elements	-339	meV/atom
# space-group type	P4/mmm
data_YCoAs2
_chemical_formula_sum 'Y1 Co1 As2'
_space_group_name_H-M_alt 'P 1'
_space_group_IT_number 1
_space_group_name_Hall 'P 1'
_cell_length_a 4.407
_cell_length_b 4.407
_cell_length_c 3.766
_cell_angle_alpha 90.00
_cell_angle_beta 90.00
_cell_angle_gamma 90.00
loop_
_atom_site_label
_atom_site_type_symbol
_atom_site_fract_x
_atom_site_fract_y
_atom_site_fract_z
Y1 Y 0.000 0.000 0.000
Co1 Co 0.500 0.500 0.000
As1 As 0.000 0.500 0.500
As2 As 0.500 0.000 0.500

# YZnCoAs2, relaxed, DFT GGA-PBE
# E	-5.029	eV/atom
# formation energy from the elements	-201	meV/atom
# space-group type	P4/mmm
data_YZnCoAs2
_chemical_formula_sum 'Y1 Zn1 Co1 As2'
_space_group_name_H-M_alt 'P 1'
_space_group_IT_number 1
_space_group_name_Hall 'P 1'
_cell_length_a 4.667
_cell_length_b 4.667
_cell_length_c 4.476
_cell_angle_alpha 90.00
_cell_angle_beta 90.00
_cell_angle_gamma 90.00
loop_
_atom_site_label
_atom_site_type_symbol
_atom_site_fract_x
_atom_site_fract_y
_atom_site_fract_z
Y1 Y 0.000 0.000 0.000
Zn1 Zn 0.500 0.500 0.000
Co1 Co 0.500 0.500 0.500
As1 As 0.000 0.500 0.500
As2 As 0.500 0.000 0.500

# YZr2CoAs, relaxed, DFT GGA-PBE
# E	-7.019	eV/atom
# formation energy from the elements	44	meV/atom
# space-group type	P4/mmm
data_YZr2CoAs
_chemical_formula_sum 'Y1 Zr2 Co1 As1'
_space_group_name_H-M_alt 'P 1'
_space_group_IT_number 1
_space_group_name_Hall 'P 1'
_cell_length_a 5.133
_cell_length_b 5.133
_cell_length_c 4.396
_cell_angle_alpha 90.00
_cell_angle_beta 90.00
_cell_angle_gamma 90.00
loop_
_atom_site_label
_atom_site_type_symbol
_atom_site_fract_x
_atom_site_fract_y
_atom_site_fract_z
Y1 Y 0.000 0.000 0.000
Zr1 Zr 0.000 0.500 0.500
Zr2 Zr 0.500 0.000 0.500
Co1 Co 0.500 0.500 0.000
As1 As 0.500 0.500 0.500

# ZnCoAs, relaxed, DFT GGA-PBE
# E	-4.315	eV/atom
# formation energy from the elements	28	meV/atom
# space-group type	I4mm
data_ZnCoAs
_chemical_formula_sum 'Zn1 Co1 As1'
_space_group_name_H-M_alt 'P 1'
_space_group_IT_number 1
_space_group_name_Hall 'P 1'
_cell_length_a 4.814
_cell_length_b 4.814
_cell_length_c 4.814
_cell_angle_alpha 141.97
_cell_angle_beta 141.97
_cell_angle_gamma 54.87
loop_
_atom_site_label
_atom_site_type_symbol
_atom_site_fract_x
_atom_site_fract_y
_atom_site_fract_z
Zn1 Zn 0.000 0.000 0.000
Co1 Co 0.316 0.316 0.000
As1 As 0.697 0.697 0.000

# ZnCo2As, relaxed, DFT GGA-PBE
# E	-5.023	eV/atom
# formation energy from the elements	11	meV/atom
# relative energy among the computed polymorphs	39	meV per atom
# space-group type	Cm
data_ZnCo2As
_chemical_formula_sum 'Zn1 Co2 As1'
_space_group_name_H-M_alt 'P 1'
_space_group_IT_number 1
_space_group_name_Hall 'P 1'
_cell_length_a 4.612
_cell_length_b 4.612
_cell_length_c 4.106
_cell_angle_alpha 104.55
_cell_angle_beta 104.55
_cell_angle_gamma 36.25
loop_
_atom_site_label
_atom_site_type_symbol
_atom_site_fract_x
_atom_site_fract_y
_atom_site_fract_z
Zn1 Zn 0.000 0.000 0.000
Co1 Co 0.258 0.258 0.890
Co2 Co 0.491 0.491 0.496
As1 As 0.759 0.759 0.393

# ZnCoAs, relaxed, DFT GGA-PBE
# E	-4.368	eV/atom
# formation energy from the elements	-24	meV/atom
# space-group type	I4mm
data_ZnCoAs
_chemical_formula_sum 'Zn1 Co1 As1'
_space_group_name_H-M_alt 'P 1'
_space_group_IT_number 1
_space_group_name_Hall 'P 1'
_cell_length_a 6.143
_cell_length_b 6.143
_cell_length_c 6.143
_cell_angle_alpha 153.55
_cell_angle_beta 153.55
_cell_angle_gamma 37.76
loop_
_atom_site_label
_atom_site_type_symbol
_atom_site_fract_x
_atom_site_fract_y
_atom_site_fract_z
Zn1 Zn 0.000 0.000 0.000
Co1 Co 0.361 0.361 0.000
As1 As 0.739 0.739 0.000